{"formula": "Ac5Ir2", "functional": "GGA-PBE", "state": "optimized geometry", "lattice": [[9.013, -3.503, 0.000], [9.013, 3.503, 0.000], [-0.937, 0.000, 7.705]], "species": ["Ac", "Ac", "Ac", "Ac", "Ac", "Ac", "Ac", "Ac", "Ac", "Ac", "Ir", "Ir", "Ir", "Ir"], "fractional_positions": [[0.069, 0.931, 0.750], [0.140, 0.286, 0.317], [0.286, 0.140, 0.817], [0.315, 0.495, 0.086], [0.495, 0.315, 0.586], [0.505, 0.685, 0.414], [0.685, 0.505, 0.914], [0.714, 0.860, 0.183], [0.860, 0.714, 0.683], [0.931, 0.069, 0.250], [0.088, 0.688, 0.417], [0.312, 0.912, 0.083], [0.688, 0.088, 0.917], [0.912, 0.312, 0.583]], "n_ef_per_ev_cell": 15.12, "e_form_ev_per_atom": -0.4869}